# 1
A plane-wave DFT calculation with PBE-GGA was carried out for Sm8Cu2Os after structural relaxation.

```
data_Sm8Cu2Os
_chemical_formula_sum 'Sm16 Cu4 Os2'
_symmetry_space_group_name_H-M 'C 1 2/m 1'
_symmetry_Int_Tables_number 12
_cell_length_a 17.611
_cell_length_b 5.174
_cell_length_c 6.857
_cell_angle_alpha 90.00
_cell_angle_beta 106.16
_cell_angle_gamma 90.00
loop_
_symmetry_equiv_pos_as_xyz
'x,y,z'
'-x,-y,-z'
'-x,y,-z'
'x,-y,z'
'x+1/2,y+1/2,z'
'-x+1/2,-y+1/2,-z'
'-x+1/2,y+1/2,-z'
'x+1/2,-y+1/2,z'
loop_
_atom_site_label
_atom_site_type_symbol
_atom_site_fract_x
_atom_site_fract_y
_atom_site_fract_z
Sm1 Sm 0.032 0.000 0.295
Sm2 Sm 0.089 0.500 0.941
Sm3 Sm 0.166 0.500 0.479
Sm4 Sm 0.199 0.000 0.827
Cu1 Cu 0.184 0.000 0.224
Os1 Os 0.000 0.500 0.500
```

Calculated values
volume	600.1	Å³/cell
energy relative to the elements	-0.084	eV/atom
size of the total moment	0.00	Bohr magnetons per cell
energy above the most stable polymorph in this dataset	0.000	eV/atom


# 2
A plane-wave DFT calculation with PBE-GGA was carried out for PaNCl3 after structural relaxation.

```
data_PaNCl3
_chemical_formula_sum 'Pa4 N4 Cl12'
_symmetry_space_group_name_H-M 'I m a 2'
_symmetry_Int_Tables_number 46
_cell_length_a 11.381
_cell_length_b 8.045
_cell_length_c 7.422
_cell_angle_alpha 90.00
_cell_angle_beta 90.00
_cell_angle_gamma 90.00
loop_
_symmetry_equiv_pos_as_xyz
'x,y,z'
'-x,-y,z'
'-x+1/2,y,z'
'x+1/2,-y,z'
'x+1/2,y+1/2,z+1/2'
'-x+1/2,-y+1/2,z+1/2'
'-x,y+1/2,z+1/2'
'x,-y+1/2,z+1/2'
loop_
_atom_site_label
_atom_site_type_symbol
_atom_site_fract_x
_atom_site_fract_y
_atom_site_fract_z
Pa1 Pa 0.250 0.250 0.000
N1 N 0.250 0.133 0.250
Cl1 Cl 0.025 0.250 0.000
Cl2 Cl 0.250 0.503 0.250
```

Calculated values
volume	679.5	Å³/cell
formation energy without anion corrections	-6.3	eV per formula unit
size of the total moment	1.98	Bohr magnetons per cell
energy above the most stable polymorph in this dataset	0.000	eV/atom


# 3
A plane-wave DFT calculation with PBE-GGA was carried out for Ca2PuAl2Sb4 after structural relaxation.

```
data_Ca2PuAl2Sb4
_chemical_formula_sum 'Ca4 Pu2 Al4 Sb8'
_symmetry_space_group_name_H-M 'C 1 2/m 1'
_symmetry_Int_Tables_number 12
_cell_length_a 15.337
_cell_length_b 4.536
_cell_length_c 7.314
_cell_angle_alpha 90.00
_cell_angle_beta 107.08
_cell_angle_gamma 90.00
loop_
_symmetry_equiv_pos_as_xyz
'x,y,z'
'-x,-y,-z'
'-x,y,-z'
'x,-y,z'
'x+1/2,y+1/2,z'
'-x+1/2,-y+1/2,-z'
'-x+1/2,y+1/2,-z'
'x+1/2,-y+1/2,z'
loop_
_atom_site_label
_atom_site_type_symbol
_atom_site_fract_x
_atom_site_fract_y
_atom_site_fract_z
Ca1 Ca 0.131 0.000 0.094
Pu1 Pu 0.000 0.000 0.500
Al1 Al 0.153 0.500 0.492
Sb1 Sb 0.018 0.500 0.796
Sb2 Sb 0.216 0.000 0.717
```

Calculated values
volume	486.4	Å³/cell
formation energy without anion corrections	-4.9	eV per formula unit
size of the total moment	11.03	Bohr magnetons per cell